No. 1
# ZnF2 PBE optimized geometry
data_ZnF2
_space_group_name_H-M_alt 'P 1'
_space_group_IT_number 1
_space_group_name_Hall 'P 1'
_cell_length_a 4.561
_cell_length_b 4.561
_cell_length_c 4.561
_cell_angle_alpha 114.76
_cell_angle_beta 114.76
_cell_angle_gamma 99.34
loop_
_atom_site_label
_atom_site_type_symbol
_atom_site_fract_x
_atom_site_fract_y
_atom_site_fract_z
F1 F 0.875 0.388 0.013
F2 F 0.612 0.625 0.487
F3 F 0.138 0.125 0.513
F4 F 0.375 0.862 0.987
Zn1 Zn 0.000 0.000 0.000
Zn2 Zn 0.750 0.250 0.500
# Uncorrected energy ... -3.721 eV/atom

***

No. 2
# Dy2Y4ErNi2Te2 PBE optimized geometry
data_Dy2Y4ErNi2Te2
_space_group_name_H-M_alt 'P 1'
_space_group_IT_number 1
_space_group_name_Hall 'P 1'
_cell_length_a 9.394
_cell_length_b 9.394
_cell_length_c 9.394
_cell_angle_alpha 156.31
_cell_angle_beta 67.02
_cell_angle_gamma 118.34
loop_
_atom_site_label
_atom_site_type_symbol
_atom_site_fract_x
_atom_site_fract_y
_atom_site_fract_z
Dy1 Dy 0.102 0.748 0.354
Dy2 Dy 0.395 0.748 0.646
Er1 Er 0.477 0.477 0.000
Ni1 Ni 0.641 0.403 0.237
Ni2 Ni 0.166 0.403 0.763
Te1 Te 0.142 0.142 0.000
Te2 Te 0.740 0.240 0.500
Y1 Y 0.026 0.895 0.131
Y2 Y 0.413 0.097 0.316
Y3 Y 0.781 0.097 0.684
Y4 Y 0.764 0.895 0.869
# Uncorrected energy ... -5.859 eV/atom

***

No. 3
# Th2Re PBE optimized geometry
data_Th2Re
_space_group_name_H-M_alt 'P 1'
_space_group_IT_number 1
_space_group_name_Hall 'P 1'
_cell_length_a 8.560
_cell_length_b 8.560
_cell_length_c 8.560
_cell_angle_alpha 60.00
_cell_angle_beta 60.00
_cell_angle_gamma 60.00
loop_
_atom_site_label
_atom_site_type_symbol
_atom_site_fract_x
_atom_site_fract_y
_atom_site_fract_z
Re1 Re 0.250 0.250 0.250
Re2 Re 0.500 0.500 0.500
Th1 Th 0.375 0.375 0.375
Th2 Th 0.875 0.375 0.375
Th3 Th 0.375 0.875 0.375
Th4 Th 0.375 0.375 0.875
# Calculated formation energy ... 1.407 eV/atom

***

No. 4
# ScZnCoSb PBE optimized geometry
data_ScZnCoSb
_space_group_name_H-M_alt 'P 1'
_space_group_IT_number 1
_space_group_name_Hall 'P 1'
_cell_length_a 4.613
_cell_length_b 4.613
_cell_length_c 4.613
_cell_angle_alpha 60.00
_cell_angle_beta 60.00
_cell_angle_gamma 60.00
loop_
_atom_site_label
_atom_site_type_symbol
_atom_site_fract_x
_atom_site_fract_y
_atom_site_fract_z
Co1 Co 0.500 0.500 0.500
Sb1 Sb 0.000 0.000 0.000
Sc1 Sc 0.250 0.250 0.250
Zn1 Zn 0.750 0.750 0.750
# Uncorrected energy ... -4.704 eV/atom

***

No. 5
# SrErTe3Au PBE optimized geometry
data_SrErTe3Au
_space_group_name_H-M_alt 'P 1'
_space_group_IT_number 1
_space_group_name_Hall 'P 1'
_cell_length_a 14.534
_cell_length_b 4.356
_cell_length_c 11.633
_cell_angle_alpha 90.00
_cell_angle_beta 90.00
_cell_angle_gamma 90.00
loop_
_atom_site_label
_atom_site_type_symbol
_atom_site_fract_x
_atom_site_fract_y
_atom_site_fract_z
Au1 Au 0.007 0.250 0.092
Au2 Au 0.507 0.250 0.408
Au3 Au 0.493 0.750 0.592
Au4 Au 0.993 0.750 0.908
Er1 Er 0.511 0.750 0.174
Er2 Er 0.011 0.750 0.326
Er3 Er 0.989 0.250 0.674
Er4 Er 0.489 0.250 0.826
Sr1 Sr 0.219 0.750 0.053
Sr2 Sr 0.719 0.750 0.447
Sr3 Sr 0.281 0.250 0.553
Sr4 Sr 0.781 0.250 0.947
Te1 Te 0.392 0.250 0.062
Te2 Te 0.880 0.750 0.127
Te3 Te 0.650 0.250 0.244
Te4 Te 0.150 0.250 0.256
Te5 Te 0.380 0.750 0.373
Te6 Te 0.892 0.250 0.438
Te7 Te 0.108 0.750 0.562
Te8 Te 0.620 0.250 0.627
Te9 Te 0.850 0.750 0.744
Te10 Te 0.350 0.750 0.756
Te11 Te 0.120 0.250 0.873
Te12 Te 0.608 0.750 0.938
# Uncorrected energy ... -4.341 eV/atom

***

No. 6
# AgPXe2F10 PBE optimized geometry
data_AgPXe2F10
_space_group_name_H-M_alt 'P 1'
_space_group_IT_number 1
_space_group_name_Hall 'P 1'
_cell_length_a 8.458
_cell_length_b 8.102
_cell_length_c 8.102
_cell_angle_alpha 90.00
_cell_angle_beta 118.62
_cell_angle_gamma 118.62
loop_
_atom_site_label
_atom_site_type_symbol
_atom_site_fract_x
_atom_site_fract_y
_atom_site_fract_z
Ag1 Ag 0.500 0.250 0.250
Ag2 Ag 0.500 0.750 0.750
F1 F 0.500 0.839 0.069
F2 F 0.237 0.619 0.119
F3 F 0.500 0.569 0.161
F4 F 0.215 0.215 0.221
F5 F 0.785 0.279 0.285
F6 F 0.500 0.931 0.339
F7 F 0.763 0.881 0.381
F8 F 0.500 0.661 0.431
F9 F 0.215 0.715 0.494
F10 F 0.785 0.506 0.500
F11 F 0.500 0.161 0.569
F12 F 0.237 0.119 0.619
F13 F 0.500 0.431 0.661
F14 F 0.215 0.500 0.721
F15 F 0.785 0.006 0.785
F16 F 0.500 0.069 0.839
F17 F 0.763 0.381 0.881
F18 F 0.500 0.339 0.931
F19 F 0.215 0.000 0.994
F20 F 0.785 0.779 0.000
P1 P 0.500 0.750 0.250
P2 P 0.500 0.250 0.750
Xe1 Xe 0.000 0.748 0.248
Xe2 Xe 0.000 0.248 0.252
Xe3 Xe 0.000 0.752 0.748
Xe4 Xe 0.000 0.252 0.752
# Uncorrected energy ... -3.378 eV/atom

***

No. 7
# Pr3Mg3Hg2Pt PBE optimized geometry
data_Pr3Mg3Hg2Pt
_space_group_name_H-M_alt 'P 1'
_space_group_IT_number 1
_space_group_name_Hall 'P 1'
_cell_length_a 7.818
_cell_length_b 7.818
_cell_length_c 4.336
_cell_angle_alpha 90.00
_cell_angle_beta 90.00
_cell_angle_gamma 120.00
loop_
_atom_site_label
_atom_site_type_symbol
_atom_site_fract_x
_atom_site_fract_y
_atom_site_fract_z
Hg1 Hg 0.667 0.333 0.500
Hg2 Hg 0.333 0.667 0.500
Mg1 Mg 0.769 0.000 0.500
Mg2 Mg 0.231 0.231 0.500
Mg3 Mg 0.000 0.769 0.500
Pr1 Pr 0.398 0.000 0.000
Pr2 Pr 0.000 0.398 0.000
Pr3 Pr 0.602 0.602 0.000
Pt1 Pt 0.000 0.000 0.000
# Uncorrected energy ... -3.385 eV/atom

***

No. 8
# LaZrS3 PBE optimized geometry
data_LaZrS3
_space_group_name_H-M_alt 'P 1'
_space_group_IT_number 1
_space_group_name_Hall 'P 1'
_cell_length_a 6.417
_cell_length_b 6.417
_cell_length_c 9.496
_cell_angle_alpha 90.00
_cell_angle_beta 90.00
_cell_angle_gamma 145.35
loop_
_atom_site_label
_atom_site_type_symbol
_atom_site_fract_x
_atom_site_fract_y
_atom_site_fract_z
La1 La 0.747 0.253 0.250
La2 La 0.253 0.747 0.750
S1 S 0.139 0.861 0.060
S2 S 0.426 0.574 0.250
S3 S 0.139 0.861 0.440
S4 S 0.861 0.139 0.560
S5 S 0.574 0.426 0.750
S6 S 0.861 0.139 0.940
Zr1 Zr 0.499 0.499 0.000
Zr2 Zr 0.501 0.501 0.500
# Uncorrected energy ... -7.055 eV/atom

***

No. 9
# NaLiHfTe3 PBE optimized geometry
data_NaLiHfTe3
_space_group_name_H-M_alt 'P 1'
_space_group_IT_number 1
_space_group_name_Hall 'P 1'
_cell_length_a 14.415
_cell_length_b 4.154
_cell_length_c 11.317
_cell_angle_alpha 90.00
_cell_angle_beta 90.00
_cell_angle_gamma 90.00
loop_
_atom_site_label
_atom_site_type_symbol
_atom_site_fract_x
_atom_site_fract_y
_atom_site_fract_z
Hf1 Hf 0.991 0.250 0.174
Hf2 Hf 0.491 0.250 0.326
Hf3 Hf 0.509 0.750 0.674
Hf4 Hf 0.009 0.750 0.826
Li1 Li 0.489 0.750 0.090
Li2 Li 0.989 0.750 0.410
Li3 Li 0.011 0.250 0.590
Li4 Li 0.511 0.250 0.910
Na1 Na 0.279 0.250 0.047
Na2 Na 0.779 0.250 0.453
Na3 Na 0.221 0.750 0.547
Na4 Na 0.721 0.750 0.953
Te1 Te 0.105 0.750 0.062
Te2 Te 0.606 0.250 0.126
Te3 Te 0.860 0.750 0.237
Te4 Te 0.360 0.750 0.263
Te5 Te 0.106 0.250 0.374
Te6 Te 0.605 0.750 0.438
Te7 Te 0.395 0.250 0.562
Te8 Te 0.894 0.750 0.626
Te9 Te 0.640 0.250 0.737
Te10 Te 0.140 0.250 0.763
Te11 Te 0.394 0.750 0.874
Te12 Te 0.895 0.250 0.938
# Uncorrected energy ... -4.657 eV/atom

***

No. 10
# ErZnGa4 PBE optimized geometry
data_ErZnGa4
_space_group_name_H-M_alt 'P 1'
_space_group_IT_number 1
_space_group_name_Hall 'P 1'
_cell_length_a 8.388
_cell_length_b 8.388
_cell_length_c 6.663
_cell_angle_alpha 90.00
_cell_angle_beta 90.00
_cell_angle_gamma 151.60
loop_
_atom_site_label
_atom_site_type_symbol
_atom_site_fract_x
_atom_site_fract_y
_atom_site_fract_z
Er1 Er 0.387 0.613 0.250
Er2 Er 0.613 0.387 0.750
Ga1 Ga 0.000 0.000 0.000
Ga2 Ga 0.170 0.830 0.053
Ga3 Ga 0.569 0.431 0.250
Ga4 Ga 0.170 0.830 0.447
Ga5 Ga 0.000 0.000 0.500
Ga6 Ga 0.830 0.170 0.553
Ga7 Ga 0.431 0.569 0.750
Ga8 Ga 0.830 0.170 0.947
Zn1 Zn 0.734 0.266 0.250
Zn2 Zn 0.266 0.734 0.750
# Uncorrected energy ... -3.268 eV/atom

***

No. 11
# KFeBi PBE optimized geometry
data_KFeBi
_space_group_name_H-M_alt 'P 1'
_space_group_IT_number 1
_space_group_name_Hall 'P 1'
_cell_length_a 4.979
_cell_length_b 4.979
_cell_length_c 4.979
_cell_angle_alpha 60.00
_cell_angle_beta 60.00
_cell_angle_gamma 60.00
loop_
_atom_site_label
_atom_site_type_symbol
_atom_site_fract_x
_atom_site_fract_y
_atom_site_fract_z
Bi1 Bi 0.250 0.250 0.250
Fe1 Fe 0.000 0.000 0.000
K1 K 0.750 0.750 0.750
# Uncorrected energy ... -3.901 eV/atom

***

No. 12
# HfMgTe PBE optimized geometry
data_HfMgTe
_space_group_name_H-M_alt 'P 1'
_space_group_IT_number 1
_space_group_name_Hall 'P 1'
_cell_length_a 4.816
_cell_length_b 4.816
_cell_length_c 4.816
_cell_angle_alpha 60.00
_cell_angle_beta 60.00
_cell_angle_gamma 60.00
loop_
_atom_site_label
_atom_site_type_symbol
_atom_site_fract_x
_atom_site_fract_y
_atom_site_fract_z
Hf1 Hf 0.250 0.250 0.250
Mg1 Mg 0.750 0.750 0.750
Te1 Te 0.000 0.000 0.000
# Uncorrected energy ... -4.588 eV/atom

***

No. 13
# La2NdFeSn3Ir2 PBE optimized geometry
data_La2NdFeSn3Ir2
_space_group_name_H-M_alt 'P 1'
_space_group_IT_number 1
_space_group_name_Hall 'P 1'
_cell_length_a 4.124
_cell_length_b 7.611
_cell_length_c 7.611
_cell_angle_alpha 120.48
_cell_angle_beta 90.00
_cell_angle_gamma 90.00
loop_
_atom_site_label
_atom_site_type_symbol
_atom_site_fract_x
_atom_site_fract_y
_atom_site_fract_z
Fe1 Fe 0.000 0.999 0.999
Ir1 Ir 0.500 0.670 0.333
Ir2 Ir 0.500 0.333 0.670
La1 La 0.000 0.582 0.001
La2 La 0.000 0.001 0.582
Nd1 Nd 0.000 0.414 0.414
Sn1 Sn 0.500 0.248 0.003
Sn2 Sn 0.500 0.003 0.248
Sn3 Sn 0.500 0.749 0.749
# Uncorrected energy ... -6.490 eV/atom

***

No. 14
# MgFeHgSe3 PBE optimized geometry
data_MgFeHgSe3
_space_group_name_H-M_alt 'P 1'
_space_group_IT_number 1
_space_group_name_Hall 'P 1'
_cell_length_a 3.691
_cell_length_b 7.035
_cell_length_c 11.090
_cell_angle_alpha 90.00
_cell_angle_beta 90.00
_cell_angle_gamma 74.79
loop_
_atom_site_label
_atom_site_type_symbol
_atom_site_fract_x
_atom_site_fract_y
_atom_site_fract_z
Fe1 Fe 0.000 0.000 0.000
Fe2 Fe 0.000 0.000 0.500
Hg1 Hg 0.497 0.006 0.250
Hg2 Hg 0.503 0.994 0.750
Mg1 Mg 0.209 0.582 0.250
Mg2 Mg 0.791 0.418 0.750
Se1 Se 0.623 0.754 0.066
Se2 Se 0.852 0.297 0.250
Se3 Se 0.623 0.754 0.434
Se4 Se 0.377 0.246 0.566
Se5 Se 0.148 0.703 0.750
Se6 Se 0.377 0.246 0.934
# Uncorrected energy ... -3.611 eV/atom

***

No. 15
# AlTl2Cu PBE optimized geometry
data_AlTl2Cu
_space_group_name_H-M_alt 'P 1'
_space_group_IT_number 1
_space_group_name_Hall 'P 1'
_cell_length_a 5.051
_cell_length_b 5.051
_cell_length_c 5.051
_cell_angle_alpha 60.00
_cell_angle_beta 60.00
_cell_angle_gamma 60.00
loop_
_atom_site_label
_atom_site_type_symbol
_atom_site_fract_x
_atom_site_fract_y
_atom_site_fract_z
Al1 Al 0.500 0.500 0.500
Cu1 Cu 0.250 0.250 0.250
Tl1 Tl 0.000 0.000 0.000
Tl2 Tl 0.750 0.750 0.750
# Uncorrected energy ... -2.628 eV/atom

***

No. 16
# ThUZn PBE optimized geometry
data_ThUZn
_space_group_name_H-M_alt 'P 1'
_space_group_IT_number 1
_space_group_name_Hall 'P 1'
_cell_length_a 4.864
_cell_length_b 4.864
_cell_length_c 4.864
_cell_angle_alpha 60.00
_cell_angle_beta 60.00
_cell_angle_gamma 60.00
loop_
_atom_site_label
_atom_site_type_symbol
_atom_site_fract_x
_atom_site_fract_y
_atom_site_fract_z
Th1 Th 0.250 0.250 0.250
U1 U 0.750 0.750 0.750
Zn1 Zn 0.000 0.000 0.000
# Calculated formation energy ... 0.628 eV/atom